The following is a PBE calculation of MgSbC after structural relaxation, from Alexandria.

a = 3.3195 Å, b = 4.4283 Å, c = 9.0589 Å
α = 96.83°, β = 100.33°, γ = 108.40°
Closest atoms and distances in Å follow each position.
Positions (direct):
Sb (0.6297, 0.1720, 0.6488)  1 Sb 2.77, 3 Mg 3.00-3.03
Sb (0.3703, 0.8280, 0.3512)  1 Sb 2.77, 3 Mg 3.00-3.03
Mg (0.9076, 0.1697, 0.1478)  3 C 2.31-2.37
Mg (0.0924, 0.8303, 0.8522)  3 C 2.31-2.37
C (0.5998, 0.6482, 0.0010)  1 C 1.27
C (0.4002, 0.3518, 0.9990)  1 C 1.27

Results
Raw formation energy: 0.233 eV/atom
Mass density: 4.30 g/cm3
Offset from the most stable computed form: 0.0512 eV/atom
Symmetry: P-1
Electronic total energy: -4.75 eV per atom